A relaxed structure of LaSm2Ho3Se6, computed with PBE.

The space-group type is C2/m, No. 12. The value obtained for the density of states at the Fermi level is 5.86 states/eV/cell. The raw formation energy is -21.7 eV/f.u.

Lattice parameters (Å, degrees): 7.1232 7.1232 7.2580 99.40 99.40 120.26
Closest atoms and distances in Å follow each position.
Sites, in units of the cell vectors:
Se 0.5730 0.9112 0.7347  3 Ho 2.85-2.88, 2 Sm 2.97, 1 La 3.02
Se 0.9112 0.5730 0.7347  3 Ho 2.85-2.88, 2 Sm 2.97, 1 La 3.02
Se 0.4270 0.0888 0.2653  3 Ho 2.85-2.88, 2 Sm 2.97, 1 La 3.02
Se 0.2512 0.2512 0.7375  3 Ho 2.84-2.88, 2 Sm 2.97, 1 La 3.01
Se 0.7488 0.7488 0.2625  3 Ho 2.84-2.88, 2 Sm 2.97, 1 La 3.01
Se 0.0888 0.4270 0.2653  3 Ho 2.85-2.88, 2 Sm 2.97, 1 La 3.02
Sm 0.6676 0.3324 0.0000  6 Se 2.97
Sm 0.3324 0.6676 0.0000  6 Se 2.97
Ho 0.8352 0.1648 0.5000  6 Se 2.85-2.88
Ho 0.1648 0.8352 0.5000  6 Se 2.85-2.88
Ho 0.5000 0.5000 0.5000  6 Se 2.84-2.88
La 0.0000 0.0000 0.0000  6 Se 3.01-3.02